The following is a DFT calculation (PBE-GGA) of a relaxed LiYGaFe crystal.

Output
Magnetization ... 2.68 μB per formula unit
Energy above the most stable polymorph in this dataset ... 0.0 kJ per mole of atoms

Cell: 6.5557 6.5557 6.5557 Å, 90.00 90.00 90.00°
Last column: nearest neighbours and their distance in Å.
Space group F-43m (No. 216)
Inequivalent atoms, fractional coordinates:
1 Li 0.0000 0.0000 0.0000  4 Fe 2.84, 4 Y 2.84
2 Y 0.2500 0.2500 0.2500  4 Li 2.84, 4 Ga 2.84
3 Ga 0.0000 0.0000 0.5000  4 Y 2.84, 4 Fe 2.84
4 Fe 0.2500 0.2500 0.7500  4 Li 2.84, 4 Ga 2.84

=====

The following is a DFT calculation (PBE-GGA) of a relaxed Li4ZnGa2Fe crystal.

Output
Magnetization ... 2.44 μB per formula unit
Calculated total energy ... -24.66 eV/f.u.

Cell: 4.2312 4.2312 6.1439 Å, 90.00 90.00 90.00°
Last column: nearest neighbours and their distance in Å.
Space group P-4m2 (No. 115)
Inequivalent atoms, fractional coordinates:
1 Li 0.0000 0.0000 0.0000  4 Li 2.62, 4 Ga 2.69
2 Li 0.0000 0.5000 0.7478  2 Fe 2.61, 4 Li 2.61-2.62, 2 Zn 2.62
3 Li 0.5000 0.5000 0.5000  4 Ga 2.54, 4 Li 2.61
4 Zn 0.5000 0.5000 0.0000  4 Li 2.62, 4 Ga 2.69
5 Ga 0.0000 0.5000 0.2698  2 Fe 2.54, 4 Li 2.54-2.69, 2 Zn 2.69
6 Fe 0.0000 0.0000 0.5000  4 Ga 2.54, 4 Li 2.61

=====

The following is a DFT calculation (PBE-GGA) of a relaxed LuGaFe2 crystal.

Output
Magnetization ... 4.39 μB per formula unit
Calculated total energy ... -24.28 eV/f.u.

Cell: 6.2990 6.2990 6.2990 Å, 90.00 90.00 90.00°
Last column: nearest neighbours and their distance in Å.
Space group F-43m (No. 216)
Inequivalent atoms, fractional coordinates:
1 Lu 0.0000 0.0000 0.0000  4 Fe 2.73, 4 Ga 2.73
2 Ga 0.2500 0.2500 0.7500  4 Fe 2.73, 4 Lu 2.73
3 Fe 0.0000 0.0000 0.5000  4 Fe 2.73, 4 Ga 2.73
4 Fe 0.2500 0.2500 0.2500  4 Fe 2.73, 4 Lu 2.73

=====

The following is a DFT calculation (PBE-GGA) of a relaxed LuGaFe crystal.

Output
Magnetization ... 0.05 μB per formula unit
Calculated total energy ... -15.81 eV/f.u.

Cell: 6.0813 6.0813 6.0813 Å, 90.00 90.00 90.00°
Last column: nearest neighbours and their distance in Å.
Space group F-43m (No. 216)
Inequivalent atoms, fractional coordinates:
1 Lu 0.0000 0.0000 0.0000  4 Fe 2.63
2 Ga 0.0000 0.0000 0.5000  4 Fe 2.63
3 Fe 0.2500 0.2500 0.7500  4 Lu 2.63, 4 Ga 2.63

=====

The following is a DFT calculation (PBE-GGA) of a relaxed LuMgGaFe crystal.

Output
Magnetization ... 1.98 μB per formula unit
Energy above the most stable polymorph in this dataset ... 5.3 kJ per mole of atoms

Cell: 6.5413 6.5413 6.5413 Å, 90.00 90.00 90.00°
Last column: nearest neighbours and their distance in Å.
Space group F-43m (No. 216)
Inequivalent atoms, fractional coordinates:
1 Lu 0.0000 0.0000 0.0000  4 Fe 2.83, 4 Mg 2.83
2 Mg 0.2500 0.2500 0.2500  4 Lu 2.83, 4 Ga 2.83
3 Ga 0.0000 0.0000 0.5000  4 Mg 2.83, 4 Fe 2.83
4 Fe 0.2500 0.2500 0.7500  4 Lu 2.83, 4 Ga 2.83

=====

The following is a DFT calculation (PBE-GGA) of a relaxed LuMgGaFe crystal.

Output
Magnetization ... 2.19 μB per formula unit
Energy above the most stable polymorph in this dataset ... 0.0 kJ per mole of atoms

Cell: 6.5908 6.5908 6.5908 Å, 90.00 90.00 90.00°
Last column: nearest neighbours and their distance in Å.
Space group F-43m (No. 216)
Inequivalent atoms, fractional coordinates:
1 Lu 0.0000 0.0000 0.0000  4 Mg 2.85, 4 Ga 2.85
2 Mg 0.2500 0.2500 0.7500  4 Fe 2.85, 4 Lu 2.85
3 Ga 0.2500 0.2500 0.2500  4 Fe 2.85, 4 Lu 2.85
4 Fe 0.0000 0.0000 0.5000  4 Mg 2.85, 4 Ga 2.85

=====

Look up the magnetization of the fourth one. 0.05 μB per formula unit

=====

What is the magnetization in the third record? 4.39 μB per formula unit